[1]
Density functional theory data (GGA-PBEsol) for K2TiSi3O9 after structural relaxation.

POSCAR file:
```
K2TiSi3O9
1.0
-2.171 5.590 3.146
-3.331 -5.842 0.794
5.747 -2.205 7.886
Si O Ti K
6 18 2 4
Direct
0.125 0.749 0.750
0.624 0.875 0.750
0.875 0.251 0.250
0.251 0.376 0.750
0.376 0.125 0.250
0.749 0.624 0.250
0.243 0.015 0.388
0.985 0.228 0.112
0.757 0.985 0.888
0.243 0.015 0.112
0.920 0.516 0.250
0.985 0.228 0.388
0.772 0.757 0.112
0.772 0.757 0.388
0.516 0.596 0.750
0.228 0.243 0.612
0.015 0.772 0.888
0.757 0.985 0.612
0.228 0.243 0.888
0.484 0.404 0.250
0.080 0.484 0.750
0.596 0.080 0.250
0.404 0.920 0.750
0.015 0.772 0.612
0.000 0.000 0.000
0.000 0.000 0.500
0.333 0.667 0.055
0.667 0.333 0.945
0.333 0.667 0.445
0.667 0.333 0.555
```

Formation energy (no corrections), eV per atom: -2.746
Calculated volume, Å³/atom: 13.244
Magnetization, Bohr magnetons per cell: 0.00

***

[2]
Density functional theory data (GGA-PBEsol) for Sr2InTc after structural relaxation.

POSCAR file:
```
Sr2InTc
1.0
-4.200 -0.278 2.110
1.700 -3.230 2.959
1.273 3.401 2.982
In Sr Tc
1 2 1
Direct
0.500 0.000 0.000
0.000 0.000 0.500
0.000 0.500 0.000
0.500 0.500 0.500
```

Formation energy from the elements, eV per atom: 0.56
Calculated volume, Å³/atom: 25.990
Magnetization, Bohr magnetons per cell: 1.48

***

[3]
Density functional theory data (GGA-PBEsol) for AlSbP2 after structural relaxation.

POSCAR file:
```
AlSbP2
1.0
3.874 0.000 0.000
0.000 3.999 -0.009
0.000 -1.693 5.968
P Al Sb
2 1 1
Direct
0.000 0.106 0.789
0.500 0.718 0.234
0.500 0.125 0.005
0.000 0.551 0.472
```

Formation energy (no corrections), eV per atom: -0.036
Calculated volume, Å³/atom: 23.103
Magnetization, Bohr magnetons per cell: 0.00

***

[4]
Density functional theory data (GGA-PBEsol) for LiAl2As2 after structural relaxation.

POSCAR file:
```
LiAl2As2
1.0
3.408 0.000 0.000
0.000 7.177 0.000
0.000 0.000 7.177
As Al Li
4 4 2
Direct
0.500 0.168 0.668
0.500 0.332 0.168
0.500 0.832 0.332
0.500 0.668 0.832
0.000 0.868 0.632
0.000 0.368 0.868
0.000 0.632 0.132
0.000 0.132 0.368
0.000 0.000 0.000
0.000 0.500 0.500
```

Formation energy from the elements, eV per atom: -0.14
Calculated volume, Å³/atom: 17.555
Magnetization, Bohr magnetons per cell: 0.00

***

| no. | calculated density (kg/m3) |
| --- | --- |
| 1 | 2962 |
| 2 | 6198 |
| 3 | 3786 |
| 4 | 3987 |